1.
First-principles (GGA-PBE) data for a geometry-optimized CsLa2FeRe structure, as listed in Alexandria via LeMat-Bulk. Values from VASP.

The structure in Quantum ESPRESSO input format:
```
&SYSTEM
  ibrav = 0, nat = 5, ntyp = 4
/
ATOMIC_SPECIES
Cs 132.91 Cs.upf
Fe 55.84 Fe.upf
La 138.91 La.upf
Re 186.21 Re.upf
ATOMIC_POSITIONS crystal
Cs 0.500 0.500 0.500
Fe 0.000 0.000 0.500
La 0.000 0.500 0.000
La 0.500 0.000 0.000
Re 0.000 0.000 0.000
CELL_PARAMETERS angstrom
-4.022 1.594 3.849
1.801 -4.159 3.604
3.065 3.020 1.952
```

Symmetry = No. 123
Formation energy = 0.69 eV per atom



2.
First-principles (GGA-PBE) data for a geometry-optimized LiYTl2F6 structure, as listed in Alexandria via LeMat-Bulk. Values from VASP.

The structure in Quantum ESPRESSO input format:
```
&SYSTEM
  ibrav = 0, nat = 10, ntyp = 4
/
ATOMIC_SPECIES
Tl 204.38 Tl.upf
Y 88.91 Y.upf
F 19.00 F.upf
Li 6.94 Li.upf
ATOMIC_POSITIONS crystal
Tl 0.750 0.251 0.500
Y 0.500 0.500 0.000
F 0.753 0.247 0.000
F 0.753 0.753 0.505
F 0.247 0.247 0.000
F 0.753 0.753 0.999
Tl 0.250 0.750 0.500
Li 0.000 0.000 0.000
F 0.246 0.754 0.000
F 0.247 0.248 0.495
CELL_PARAMETERS angstrom
-1.912 5.644 1.461
-1.396 -1.934 5.652
5.669 -0.842 -2.220
```

Formation energy without anion corrections = -2918.7 meV per atom
Symmetry = No. 139



3.
First-principles (GGA-PBE) data for a geometry-optimized RbHgBi structure, as listed in Alexandria via LeMat-Bulk. Values from VASP.

The structure in Quantum ESPRESSO input format:
```
&SYSTEM
  ibrav = 0, nat = 6, ntyp = 3
/
ATOMIC_SPECIES
Bi 208.98 Bi.upf
Hg 200.59 Hg.upf
Rb 85.47 Rb.upf
ATOMIC_POSITIONS crystal
Bi 0.861 0.275 0.247
Bi 0.861 0.738 0.247
Hg 0.861 0.155 0.544
Rb 0.361 0.339 0.912
Rb 0.361 0.674 0.582
Hg 0.861 0.858 0.950
CELL_PARAMETERS angstrom
3.591 0.000 0.000
0.000 6.697 0.001
0.000 -3.347 9.207
```

Symmetry = No. 65
Formation energy = -0.21 eV per atom



4.
First-principles (GGA-PBE) data for a geometry-optimized In2CuAs structure, as listed in Alexandria via LeMat-Bulk. Values from VASP.

The structure in Quantum ESPRESSO input format:
```
&SYSTEM
  ibrav = 0, nat = 4, ntyp = 3
/
ATOMIC_SPECIES
In 114.82 In.upf
Cu 63.55 Cu.upf
As 74.92 As.upf
ATOMIC_POSITIONS crystal
In 0.000 0.000 0.000
Cu 0.000 0.500 0.500
As 0.500 0.000 0.500
In 0.500 0.500 0.000
CELL_PARAMETERS angstrom
-1.964 3.733 -0.465
-1.208 -1.237 -4.828
-3.337 -1.600 1.245
```

Symmetry = No. 47
Formation energy = 0.22 eV per atom



5.
First-principles (GGA-PBE) data for a geometry-optimized NaZrAg2Se4 structure, as listed in Alexandria via LeMat-Bulk. Values from VASP.

The structure in Quantum ESPRESSO input format:
```
&SYSTEM
  ibrav = 0, nat = 8, ntyp = 4
/
ATOMIC_SPECIES
Ag 107.87 Ag.upf
Na 22.99 Na.upf
Se 78.96 Se.upf
Zr 91.22 Zr.upf
ATOMIC_POSITIONS crystal
Ag 0.164 0.336 0.336
Na 0.000 0.000 0.000
Se 0.140 0.885 0.413
Se 0.860 0.587 0.115
Zr 0.500 0.500 0.500
Se 0.439 0.115 0.587
Ag 0.836 0.664 0.664
Se 0.561 0.413 0.885
CELL_PARAMETERS angstrom
6.727 0.000 0.000
3.364 5.703 0.461
3.364 0.927 5.646
```

Formation energy without anion corrections = -636.0 meV per atom
Symmetry = No. 23



6.
First-principles (GGA-PBE) data for a geometry-optimized Ba6Se5Br structure, as listed in Alexandria via LeMat-Bulk. Values from VASP.

The structure in Quantum ESPRESSO input format:
```
&SYSTEM
  ibrav = 0, nat = 12, ntyp = 3
/
ATOMIC_SPECIES
Ba 137.33 Ba.upf
Se 78.96 Se.upf
Br 79.90 Br.upf
ATOMIC_POSITIONS crystal
Ba 0.744 0.741 0.000
Se 0.500 0.836 0.327
Ba 0.256 0.569 0.345
Ba 0.744 0.086 0.345
Ba 0.256 0.259 0.000
Se 0.000 0.333 0.334
Se 0.500 0.164 0.673
Ba 0.744 0.431 0.655
Se 0.000 0.667 0.666
Br 0.000 0.000 0.000
Ba 0.256 0.914 0.655
Se 0.500 0.500 0.000
CELL_PARAMETERS angstrom
8.168 0.223 0.000
2.513 7.779 0.000
1.257 3.889 7.077
```

Formation energy without anion corrections = -1999.8 meV per atom
Symmetry = No. 12